Record 1
NiHgH: relaxed, PBE-GGA.

CIF file:
```
data_NiHgH
_cell_length_a 2.831
_cell_length_b 4.313
_cell_length_c 6.838
_cell_angle_alpha 82.06
_cell_angle_beta 89.49
_cell_angle_gamma 89.97
_symmetry_space_group_name_H-M 'P -1'
_symmetry_Int_Tables_number 2
loop_
_symmetry_equiv_pos_as_xyz
'x,y,z'
'-x,-y,-z'
loop_
_atom_site_label
_atom_site_type_symbol
_atom_site_fract_x
_atom_site_fract_y
_atom_site_fract_z
Ni1 Ni 0.000 0.000 0.000
Ni2 Ni 0.500 0.500 0.000
Hg1 Hg 0.007 0.709 0.660
H1 H 0.498 0.814 0.103
```

---

Record 2
NiHgH3: relaxed, PBE-GGA.

CIF file:
```
data_NiHgH3
_cell_length_a 3.530
_cell_length_b 3.530
_cell_length_c 3.530
_cell_angle_alpha 90.00
_cell_angle_beta 90.00
_cell_angle_gamma 90.00
_symmetry_space_group_name_H-M 'P m -3 m'
_symmetry_Int_Tables_number 221
_symmetry_space_group_name_Hall '-P 4 2 3'
loop_
_atom_site_label
_atom_site_type_symbol
_atom_site_fract_x
_atom_site_fract_y
_atom_site_fract_z
Ni1 Ni 0.000 0.000 0.000
Hg1 Hg 0.500 0.500 0.500
H1 H 0.000 0.000 0.500
```

---

Record 3
Ni3HgH3: relaxed, PBE-GGA.

CIF file:
```
data_Ni3HgH3
_cell_length_a 4.978
_cell_length_b 4.978
_cell_length_c 4.978
_cell_angle_alpha 90.00
_cell_angle_beta 90.00
_cell_angle_gamma 90.00
_symmetry_space_group_name_H-M 'P m -3 n'
_symmetry_Int_Tables_number 223
_symmetry_space_group_name_Hall '-P 4n 2 3'
loop_
_atom_site_label
_atom_site_type_symbol
_atom_site_fract_x
_atom_site_fract_y
_atom_site_fract_z
Ni1 Ni 0.000 0.250 0.500
Hg1 Hg 0.000 0.000 0.000
H1 H 0.000 0.500 0.250
```

---

Record 4
SiNiHgPH: relaxed, PBE-GGA.

CIF file:
```
data_SiNiHgPH
_cell_length_a 3.761
_cell_length_b 3.858
_cell_length_c 6.138
_cell_angle_alpha 93.02
_cell_angle_beta 101.91
_cell_angle_gamma 104.91
_symmetry_space_group_name_H-M 'P 1'
_symmetry_Int_Tables_number 1
loop_
_symmetry_equiv_pos_as_xyz
'x,y,z'
loop_
_atom_site_label
_atom_site_type_symbol
_atom_site_fract_x
_atom_site_fract_y
_atom_site_fract_z
Si1 Si 0.000 0.000 0.000
Ni1 Ni 0.596 0.350 0.928
Hg1 Hg 0.997 0.746 0.383
P1 P 0.091 0.551 0.775
H1 H 0.441 0.207 0.140
```

---

no.,D(E_F) (states/eV per cell),electronic total energy (eV for the cell shown)
1,3.254,-18.355
2,2.242,-14.073
3,5.937,-54.704
4,0.988,-20.190